1.
# RbAcTaO5

A geometry-optimized RbAcTaO5 structure (PBE, Alexandria).

a = 6.708 Å, b = 6.708 Å, c = 8.695 Å
α = 103.59°, β = 103.59°, γ = 106.35°
Site moments in Bohr magnetons follow the coordinates.
Positions (direct):
Rb1 0.331 0.669 0.250  0.00
Rb2 0.669 0.331 0.750  0.00
Ac1 0.000 0.000 0.500  0.04
Ac2 0.000 0.000 0.000  0.04
Ta1 0.683 0.317 0.250  0.02
Ta2 0.317 0.683 0.750  0.02
O1 0.060 0.940 0.250  0.13
O2 0.940 0.060 0.750  0.13
O3 0.877 0.306 0.125  -0.06
O4 0.123 0.694 0.875  -0.06
O5 0.694 0.123 0.375  -0.06
O6 0.306 0.877 0.625  -0.06
O7 0.758 0.601 0.392  -0.04
O8 0.242 0.399 0.608  -0.04
O9 0.399 0.242 0.108  -0.04
O10 0.601 0.758 0.892  -0.04

Properties
Density (g cm⁻³): 5.5
E (eV/atom): -7.77
Energy relative to the elements, uncorrected (eV/atom): -2.56


2.
# HoSi2TcNi

A geometry-optimized HoSi2TcNi structure (PBE, Alexandria).

a = 4.022 Å, b = 4.022 Å, c = 5.723 Å
α = 110.57°, β = 110.57°, γ = 90.00°
Positions (direct):
Ho1 0.000 0.000 0.000
Si1 0.624 0.624 0.248
Si2 0.376 0.376 0.752
Tc1 0.750 0.250 0.500
Ni1 0.250 0.750 0.500

Properties
Density (g cm⁻³): 7.8
E (eV/atom): -7.07
Energy relative to the elements, uncorrected (eV/atom): -0.76


3.
# PaTlGeO5

A geometry-optimized PaTlGeO5 structure (PBE, Alexandria).

a = 6.254 Å, b = 6.254 Å, c = 8.198 Å
α = 105.49°, β = 105.49°, γ = 105.25°
Positions (direct):
Pa1 0.000 0.000 0.500
Pa2 0.000 0.000 0.000
Tl1 0.331 0.669 0.250
Tl2 0.669 0.331 0.750
Ge1 0.687 0.313 0.250
Ge2 0.313 0.687 0.750
O1 0.058 0.942 0.250
O2 0.942 0.058 0.750
O3 0.870 0.283 0.117
O4 0.130 0.717 0.883
O5 0.717 0.130 0.383
O6 0.283 0.870 0.617
O7 0.776 0.618 0.388
O8 0.224 0.382 0.612
O9 0.382 0.224 0.112
O10 0.618 0.776 0.888

Properties
Density (g cm⁻³): 7.0
E (eV/atom): -7.51
Energy relative to the elements, uncorrected (eV/atom): -2.35


4.
# TiTl3Re

A geometry-optimized TiTl3Re structure (PBE, Alexandria).

a = 5.337 Å, b = 5.337 Å, c = 5.337 Å
α = 90.00°, β = 90.00°, γ = 90.00°
Site moments in Bohr magnetons follow the coordinates.
Positions (direct):
Re1 0.500 0.500 0.500  3.66
Tl1 0.000 0.500 0.000  -0.05
Tl2 0.000 0.000 0.500  -0.02
Tl3 0.500 0.000 0.000  0.01
Ti1 0.000 0.000 0.000  -0.30

Properties
Energy above the lowest structure with this stoichiometry (meV/atom): 307
Density (g cm⁻³): 9.3
Formation energy from the elements (meV/atom): 1601
E (eV/atom): -3.89


5.
# Al2TeCl

A geometry-optimized Al2TeCl structure (PBE, Alexandria).

a = 5.061 Å, b = 5.061 Å, c = 5.061 Å
α = 125.06°, β = 114.93°, γ = 90.24°
Positions (direct):
Te1 0.750 0.250 0.500
Al1 0.032 0.032 0.000
Al2 0.468 0.468 0.000
Cl1 0.250 0.750 0.500

Properties
Energy above the lowest structure with this stoichiometry (meV/atom): 328
Density (g cm⁻³): 4.0
E (eV/atom): -3.22
Energy relative to the elements, uncorrected (eV/atom): -0.10


6.
# SmEr3Zn2

A geometry-optimized SmEr3Zn2 structure (PBE, Alexandria).

a = 3.542 Å, b = 3.542 Å, c = 12.190 Å
α = 90.00°, β = 90.00°, γ = 90.00°
Positions (direct):
Sm1 0.500 0.500 0.500
Er1 0.000 0.000 0.000
Er2 0.000 0.000 0.712
Er3 0.000 0.000 0.288
Zn1 0.500 0.500 0.857
Zn2 0.500 0.500 0.143

Properties
Density (g cm⁻³): 8.5
Formation energy from the elements (meV/atom): -231
E (eV/atom): -3.72


7.
# BeReAu2

A geometry-optimized BeReAu2 structure (PBE, Alexandria).

a = 2.751 Å, b = 3.903 Å, c = 5.680 Å
α = 90.00°, β = 90.00°, γ = 90.00°
Positions (direct):
Re1 0.500 0.500 0.750
Au1 0.000 0.000 0.010
Au2 0.000 0.000 0.490
Be1 0.500 0.500 0.250

Properties
Density (g cm⁻³): 16.0
Formation energy from the elements (meV/atom): 500
E (eV/atom): -5.18


8.
# Sm2ZnSn

A geometry-optimized Sm2ZnSn structure (PBE, Alexandria).

a = 4.349 Å, b = 6.215 Å, c = 8.658 Å
α = 110.54°, β = 90.00°, γ = 90.00°
Positions (direct):
Sm1 0.750 0.214 0.416
Sm2 0.250 0.786 0.584
Sm3 0.250 0.790 0.060
Sm4 0.750 0.210 0.940
Zn1 0.250 0.356 0.211
Zn2 0.750 0.644 0.789
Sn1 0.750 0.661 0.290
Sn2 0.250 0.339 0.710

Properties
Density (g cm⁻³): 7.3
Formation energy from the elements (meV/atom): -533
E (eV/atom): -4.21


9.
# LiP2Cl

A geometry-optimized LiP2Cl structure (PBE, Alexandria).

a = 3.469 Å, b = 3.469 Å, c = 8.172 Å
α = 102.28°, β = 102.28°, γ = 60.01°
Positions (direct):
Cl1 0.609 0.609 0.577
Li1 0.981 0.981 0.692
P1 0.814 0.814 0.191
P2 0.097 0.097 0.040

Properties
Energy above the lowest structure with this stoichiometry (meV/atom): 0
Density (g cm⁻³): 2.1
E (eV/atom): -4.37
Energy relative to the elements, uncorrected (eV/atom): -0.72


10.
# BeAg2CSe

A geometry-optimized BeAg2CSe structure (PBE, Alexandria).

a = 4.684 Å, b = 4.164 Å, c = 4.684 Å
α = 90.00°, β = 90.00°, γ = 90.00°
Site moments in Bohr magnetons follow the coordinates.
Positions (direct):
Be1 0.000 0.000 0.000  -0.01
C1 0.500 0.500 0.500  0.79
Se1 0.000 0.500 0.000  0.04
Ag1 0.000 0.000 0.500  0.01
Ag2 0.500 0.000 0.000  0.01

Properties
Density (g cm⁻³): 5.7
E (eV/atom): -2.85
Energy relative to the elements, uncorrected (eV/atom): 1.58


11.
# NaTl5Hg7

A geometry-optimized NaTl5Hg7 structure (PBE, Alexandria).

a = 5.025 Å, b = 5.855 Å, c = 28.201 Å
α = 97.23°, β = 90.00°, γ = 115.41°
Positions (direct):
Na1 0.995 0.990 0.265
Na2 0.005 0.010 0.735
Tl1 0.001 0.001 0.000
Tl2 0.549 0.098 0.914
Tl3 0.452 0.903 0.086
Tl4 0.639 0.279 0.347
Tl5 0.361 0.722 0.653
Tl6 0.000 0.001 0.500
Tl7 0.316 0.633 0.422
Tl8 0.684 0.369 0.578
Tl9 0.221 0.442 0.868
Tl10 0.780 0.559 0.132
Hg1 0.674 0.348 0.235
Hg2 0.326 0.653 0.765
Hg3 0.700 0.401 0.024
Hg4 0.301 0.601 0.976
Hg5 0.342 0.683 0.538
Hg6 0.659 0.319 0.462
Hg7 0.379 0.758 0.203
Hg8 0.621 0.242 0.797
Hg9 0.685 0.370 0.694
Hg10 0.315 0.630 0.306
Hg11 0.087 0.174 0.151
Hg12 0.913 0.827 0.849
Hg13 0.026 0.052 0.620
Hg14 0.974 0.949 0.380

Properties
Density (g cm⁻³): 11.0
Formation energy from the elements (meV/atom): -52
E (eV/atom): -1.23


12.
# LuZrCdCo

A geometry-optimized LuZrCdCo structure (PBE, Alexandria).

a = 4.845 Å, b = 4.845 Å, c = 4.845 Å
α = 60.00°, β = 60.00°, γ = 60.00°
Site moments in Bohr magnetons follow the coordinates.
Positions (direct):
Lu1 0.250 0.250 0.250  -0.14
Co1 0.000 0.000 0.000  1.08
Zr1 0.750 0.750 0.750  -0.21
Cd1 0.500 0.500 0.500  0.01

Properties
Density (g cm⁻³): 9.0
Formation energy from the elements (meV/atom): -70
E (eV/atom): -5.34


| no. | total magnetization (μB per atom) |
| --- | --- |
| 1 | 0.01 |
| 2 | 0.00 |
| 3 | 0.00 |
| 4 | 0.79 |
| 5 | 0.00 |
| 6 | 0.00 |
| 7 | 0.00 |
| 8 | 0.00 |
| 9 | 0.00 |
| 10 | 0.33 |
| 11 | 0.00 |
| 12 | 0.14 |